*w*
# SrTl2Co2 PBE relaxed
data_SrTl2Co2
_cell_length_a 7.758
_cell_length_b 7.758
_cell_length_c 3.325
_cell_angle_alpha 90.00
_cell_angle_beta 90.00
_cell_angle_gamma 90.00
_space_group_name_H-M_alt 'P 4/m b m'
_space_group_IT_number 127
_space_group_name_Hall '-P 4 2ab'
loop_
_atom_site_label
_atom_site_type_symbol
_atom_site_fract_x
_atom_site_fract_y
_atom_site_fract_z
Sr1 Sr 0.000 0.000 0.000
Tl1 Tl 0.158 0.342 0.500
Co1 Co 0.129 0.629 0.000
# - Mass density: 10.193 Mg/m³



*x*
# SrTl2Co2 PBE relaxed
data_SrTl2Co2
_cell_length_a 4.706
_cell_length_b 4.706
_cell_length_c 10.180
_cell_angle_alpha 90.00
_cell_angle_beta 90.00
_cell_angle_gamma 90.00
_space_group_name_H-M_alt 'I 4/m m m'
_space_group_IT_number 139
_space_group_name_Hall '-I 4 2'
loop_
_atom_site_label
_atom_site_type_symbol
_atom_site_fract_x
_atom_site_fract_y
_atom_site_fract_z
Sr1 Sr 0.000 0.000 0.000
Tl1 Tl 0.000 0.500 0.250
Co1 Co 0.000 0.000 0.393
# - Mass density: 9.047 Mg/m³



The structure with the least stability is *w*.



*w*
# SrV3Co PBE relaxed
data_SrV3Co
_cell_length_a 4.608
_cell_length_b 4.608
_cell_length_c 4.608
_cell_angle_alpha 90.00
_cell_angle_beta 90.00
_cell_angle_gamma 90.00
_space_group_name_H-M_alt 'P m -3 m'
_space_group_IT_number 221
_space_group_name_Hall '-P 4 2 3'
loop_
_atom_site_label
_atom_site_type_symbol
_atom_site_fract_x
_atom_site_fract_y
_atom_site_fract_z
Sr1 Sr 0.000 0.000 0.000
V1 V 0.000 0.500 0.500
Co1 Co 0.500 0.500 0.500
# - Mass density: 5.079 Mg/m³



*x*
# SrV3Co PBE relaxed
data_SrV3Co
_cell_length_a 4.472
_cell_length_b 4.472
_cell_length_c 4.472
_cell_angle_alpha 90.00
_cell_angle_beta 90.00
_cell_angle_gamma 90.00
_space_group_name_H-M_alt 'P m -3 m'
_space_group_IT_number 221
_space_group_name_Hall '-P 4 2 3'
loop_
_atom_site_label
_atom_site_type_symbol
_atom_site_fract_x
_atom_site_fract_y
_atom_site_fract_z
Sr1 Sr 0.000 0.000 0.000
V1 V 0.000 0.000 0.500
Co1 Co 0.500 0.500 0.500
# - Mass density: 5.559 Mg/m³



The structure with the least stability is *x*.



*w*
# SrCo2W PBE relaxed
data_SrCo2W
_cell_length_a 3.761
_cell_length_b 3.761
_cell_length_c 9.361
_cell_angle_alpha 90.00
_cell_angle_beta 90.00
_cell_angle_gamma 90.00
_space_group_name_H-M_alt 'I -4 m 2'
_space_group_IT_number 119
_space_group_name_Hall 'I -4 -2'
loop_
_atom_site_label
_atom_site_type_symbol
_atom_site_fract_x
_atom_site_fract_y
_atom_site_fract_z
Sr1 Sr 0.000 0.000 0.000
Co1 Co 0.000 0.000 0.500
Co2 Co 0.000 0.500 0.250
W1 W 0.000 0.500 0.750
# - Mass density: 9.764 Mg/m³



*x*
# SrCo2W PBE relaxed
data_SrCo2W
_cell_length_a 3.075
_cell_length_b 3.087
_cell_length_c 7.320
_cell_angle_alpha 90.00
_cell_angle_beta 90.00
_cell_angle_gamma 90.00
_space_group_name_H-M_alt 'P m m m'
_space_group_IT_number 47
loop_
_space_group_symop_operation_xyz
'x,y,z'
'-x,-y,-z'
'-x,-y,z'
'x,y,-z'
'x,-y,-z'
'-x,y,z'
'-x,y,-z'
'x,-y,z'
loop_
_atom_site_label
_atom_site_type_symbol
_atom_site_fract_x
_atom_site_fract_y
_atom_site_fract_z
Sr1 Sr 0.000 0.000 0.000
Co1 Co 0.500 0.500 0.326
W1 W 0.000 0.000 0.500
# - Mass density: 9.303 Mg/m³



*y*
# SrCo2W PBE relaxed
data_SrCo2W
_cell_length_a 3.773
_cell_length_b 3.396
_cell_length_c 12.134
_cell_angle_alpha 90.00
_cell_angle_beta 90.00
_cell_angle_gamma 90.00
_space_group_name_H-M_alt 'A m m 2'
_space_group_IT_number 38
loop_
_space_group_symop_operation_xyz
'x,y,z'
'-x,-y,z'
'-x,y,z'
'x,-y,z'
'x,y+1/2,z+1/2'
'-x,-y+1/2,z+1/2'
'-x,y+1/2,z+1/2'
'x,-y+1/2,z+1/2'
loop_
_atom_site_label
_atom_site_type_symbol
_atom_site_fract_x
_atom_site_fract_y
_atom_site_fract_z
Sr1 Sr 0.000 0.000 0.000
Co1 Co 0.000 0.000 0.245
Co2 Co 0.500 0.000 0.360
W1 W 0.500 0.000 0.728
# - Mass density: 8.315 Mg/m³



*z*
# SrCo2W PBE relaxed
data_SrCo2W
_cell_length_a 3.103
_cell_length_b 3.103
_cell_length_c 7.399
_cell_angle_alpha 90.00
_cell_angle_beta 90.00
_cell_angle_gamma 90.00
_space_group_name_H-M_alt 'P 4 m m'
_space_group_IT_number 99
loop_
_space_group_symop_operation_xyz
'x,y,z'
'-y,x,z'
'-x,-y,z'
'y,-x,z'
'-x,y,z'
'y,x,z'
'x,-y,z'
'-y,-x,z'
loop_
_atom_site_label
_atom_site_type_symbol
_atom_site_fract_x
_atom_site_fract_y
_atom_site_fract_z
Sr1 Sr 0.000 0.000 0.000
Co1 Co 0.000 0.000 0.530
Co2 Co 0.500 0.500 0.678
W1 W 0.500 0.500 0.353
# - Mass density: 9.077 Mg/m³



The structure with the least stability is *w*.



*w*
# SrCo2W PBE relaxed
data_SrCo2W
_cell_length_a 4.782
_cell_length_b 4.782
_cell_length_c 2.837
_cell_angle_alpha 90.00
_cell_angle_beta 90.00
_cell_angle_gamma 90.00
_space_group_name_H-M_alt 'P 4/m m m'
_space_group_IT_number 123
_space_group_name_Hall '-P 4 2'
loop_
_atom_site_label
_atom_site_type_symbol
_atom_site_fract_x
_atom_site_fract_y
_atom_site_fract_z
Sr1 Sr 0.000 0.000 0.000
Co1 Co 0.000 0.500 0.500
W1 W 0.500 0.500 0.000
# - Mass density: 9.965 Mg/m³



*x*
# SrCo2W PBE relaxed
data_SrCo2W
_cell_length_a 6.358
_cell_length_b 6.358
_cell_length_c 6.358
_cell_angle_alpha 90.00
_cell_angle_beta 90.00
_cell_angle_gamma 90.00
_space_group_name_H-M_alt 'F -4 3 m'
_space_group_IT_number 216
_space_group_name_Hall 'F -4 2 3'
loop_
_atom_site_label
_atom_site_type_symbol
_atom_site_fract_x
_atom_site_fract_y
_atom_site_fract_z
Sr1 Sr 0.000 0.000 0.000
Co1 Co 0.000 0.000 0.500
Co2 Co 0.250 0.250 0.250
W1 W 0.250 0.250 0.750
# - Mass density: 10.064 Mg/m³



*y*
# SrCo2W PBE relaxed
data_SrCo2W
_cell_length_a 4.026
_cell_length_b 5.155
_cell_length_c 6.857
_cell_angle_alpha 90.00
_cell_angle_beta 90.00
_cell_angle_gamma 90.00
_space_group_name_H-M_alt 'I m m m'
_space_group_IT_number 71
_space_group_name_Hall '-I 2 2'
loop_
_atom_site_label
_atom_site_type_symbol
_atom_site_fract_x
_atom_site_fract_y
_atom_site_fract_z
Sr1 Sr 0.000 0.000 0.000
Co1 Co 0.000 0.500 0.202
W1 W 0.000 0.000 0.500
# - Mass density: 9.086 Mg/m³



The structure with the least stability is *x*.